## PuMn2SnO6 (PBE+U)

Data for crystalline PuMn2SnO6 at its relaxed geometry.

abc: 5.544 5.544 5.893
angles: 61.94 61.94 60.00
Positions (direct):
Mn  0.029  0.029  0.912
Sn  0.817  0.817  0.551
Pu  0.315  0.315  0.056
O  0.093  0.437  0.756
O  0.614  0.200  0.270
O  0.437  0.714  0.756
O  0.916  0.614  0.270
O  0.200  0.916  0.270
Mn  0.528  0.528  0.417
O  0.714  0.093  0.756

Values from the calculation:
- magnetization (μB per cell) = 14.00
- E_tot (eV per formula unit) = -83.22
- calculated density (g/cm³) = 7.170